Entry 1:
## PaHgRh4 (PBE-GGA)

Data for crystalline PaHgRh4 at its relaxed geometry.

```
6
Lattice="0.0000 3.7374 3.7374 3.7374 0.0000 3.7374 3.7374 3.7374 0.0000" Properties=species:S:1:pos:R:3 pbc="T T T"
Pa 0.0000 0.0000 0.0000
Hg 1.8687 1.8687 1.8687
Rh 4.6664 2.8084 2.8084
Rh 2.8084 4.6664 2.8084
Rh 2.8084 2.8084 4.6664
Rh 4.6664 4.6664 4.6664
```

Entry 2:
## PaHgRh2 (PBE-GGA)

Data for crystalline PaHgRh2 at its relaxed geometry.

```
4
Lattice="4.5032 0.0000 0.0000 0.0000 4.5032 0.0000 0.0000 0.0000 3.6899" Properties=species:S:1:pos:R:3 pbc="T T T"
Pa 0.0000 0.0000 0.0000
Hg 2.2516 2.2516 0.0000
Rh 0.0000 2.2516 1.8449
Rh 2.2516 0.0000 1.8449
```

Results
**Offset from the most stable computed form**: 0.017 eV/atom

Number 1: ΔH_f (0 K) -413 meV/atom, V 17.40 Å³ per atom. Number 2: ΔH_f (0 K) -475 meV/atom, V 18.71 Å³ per atom.